Record 1
# FeMo2Au

A geometry-optimized FeMo2Au structure (GGA-PBE, the Alexandria database).

Cell lengths 3.746, 3.746, 18.489 Å; angles 90.00, 90.00, 90.00 degrees
Sites, in units of the cell vectors:
Fe (0.000, 0.000, 0.000)
Fe (0.000, 0.500, 0.250)
Fe (0.500, 0.000, 0.750)
Fe (0.500, 0.500, 0.500)
Mo (0.223, 0.250, 0.125)
Mo (0.250, 0.723, 0.375)
Mo (0.250, 0.777, 0.875)
Mo (0.277, 0.250, 0.625)
Mo (0.723, 0.750, 0.625)
Mo (0.750, 0.223, 0.875)
Mo (0.750, 0.277, 0.375)
Mo (0.777, 0.750, 0.125)
Au (0.000, 0.000, 0.500)
Au (0.000, 0.500, 0.750)
Au (0.500, 0.000, 0.250)
Au (0.500, 0.500, 0.000)

- energy of formation (eV/atom) = 0.790
- E above lowest polymorph (kJ per mole of atoms) = 60.41
- DOS at the Fermi energy (states/eV per atom) = 1.638

---

Record 2
# FeMo2Au

A geometry-optimized FeMo2Au structure (GGA-PBE, the Alexandria database).

Cell lengths 2.766, 2.766, 27.454 Å; angles 90.00, 90.00, 120.00 degrees
Sites, in units of the cell vectors:
Fe (0.000, 0.000, 0.000)
Fe (0.333, 0.667, 0.667)
Fe (0.667, 0.333, 0.333)
Mo (0.000, 0.000, 0.258)
Mo (0.000, 0.000, 0.742)
Mo (0.333, 0.667, 0.409)
Mo (0.333, 0.667, 0.924)
Mo (0.667, 0.333, 0.076)
Mo (0.667, 0.333, 0.591)
Au (0.000, 0.000, 0.500)
Au (0.333, 0.667, 0.167)
Au (0.667, 0.333, 0.833)

- energy of formation (eV/atom) = 0.338
- E above lowest polymorph (kJ per mole of atoms) = 16.82
- DOS at the Fermi energy (states/eV per atom) = 1.011